The following is a GGA-PBE calculation of a relaxed structure of ScReBi2P, from the Alexandria database.

abc: 5.3522 4.7305 5.3522
angles: 90.00 90.00 90.00
Each line ends with the local moment (μB).
Positions (direct):
Re1 0.5000 0.5000 0.5000  2.67
P1 0.0000 0.0000 0.0000  0.00
Bi1 0.0000 0.0000 0.5000  -0.07
Bi2 0.5000 0.0000 0.0000  -0.08
Sc1 0.0000 0.5000 0.0000  -0.07

Results
Polymorph energy (0 for the lowest one) ... 341 meV per atom
Size of the total moment ... 0.5903 μB per atom
DFT total energy ... -26.92 eV/cell